[1]
{"formula": "Zn2InCo", "functional": "PBE", "state": "optimized geometry", "formation_enthalpy_0k_ev_per_fu": 0.37, "dos_at_fermi_per_ev_atom": 0.62, "space_group": "I-4m2, No. 119", "lattice_angstrom": [[-2.4139, 3.8817, -1.6695], [-4.7223, 1.1628, -0.1744], [-1.0827, 2.4514, 2.7867]], "species": ["In", "Co", "Zn", "Zn"], "frac_coords": [[0.2500, 0.2500, 0.2500], [0.5000, 0.5000, 0.5000], [0.0000, 0.0000, 0.0000], [0.7500, 0.7500, 0.7500]]}

---

[2]
{"formula": "AgSn2Cl8", "functional": "PBE", "state": "optimized geometry", "dos_at_fermi_per_ev_atom": 0.50, "raw_formation_energy_ev_per_atom": -0.745, "space_group": "C2/m, No. 12", "lattice_angstrom": [[6.5981, 0.4733, 0.3591], [0.6610, 8.0618, -0.0910], [0.6610, 2.0831, 7.7886]], "species": ["Sn", "Cl", "Cl", "Cl", "Cl", "Cl", "Cl", "Ag", "Cl", "Cl", "Sn"], "frac_coords": [[0.6839, 0.7910, 0.7910], [0.1451, 0.3907, 0.3907], [0.7888, 0.0769, 0.7075], [0.2112, 0.9231, 0.2925], [0.2112, 0.2925, 0.9231], [0.7888, 0.7075, 0.0769], [0.8549, 0.6093, 0.6093], [0.0000, 0.0000, 0.0000], [0.6893, 0.1827, 0.1827], [0.3107, 0.8173, 0.8173], [0.3161, 0.2090, 0.2090]]}

---

[3]
{"formula": "LiSbPb2", "functional": "PBE", "state": "optimized geometry", "dos_at_fermi_per_ev_atom": 0.36, "raw_formation_energy_ev_per_atom": -0.132, "space_group": "Pmm2, No. 25", "lattice_angstrom": [[3.4369, 0.0000, 0.0000], [0.0000, 4.4684, 0.0000], [0.0000, 0.0000, 7.1392]], "species": ["Pb", "Li", "Sb", "Pb"], "frac_coords": [[0.5000, 0.5000, 0.2537], [0.5000, 0.5000, 0.7204], [0.0000, 0.0000, 0.5470], [0.0000, 0.0000, 0.9790]]}

---

[4]
{"formula": "HfBeIn3", "functional": "PBE", "state": "optimized geometry", "formation_enthalpy_0k_ev_per_fu": 6.00, "dos_at_fermi_per_ev_atom": 1.14, "space_group": "Pm-3m, No. 221", "lattice_angstrom": [[-4.6343, -2.9596, 1.1906], [2.7152, -2.5572, 4.2121], [-1.6746, 4.0441, 3.5347]], "species": ["In", "In", "In", "Be", "Hf"], "frac_coords": [[0.5000, 0.0000, 0.0000], [0.0000, 0.5000, 0.0000], [0.0000, 0.0000, 0.5000], [0.5000, 0.5000, 0.5000], [0.0000, 0.0000, 0.0000]]}

---

[5]
{"formula": "CsMg2HgIr", "functional": "PBE", "state": "optimized geometry", "formation_enthalpy_0k_ev_per_fu": -0.24, "dos_at_fermi_per_ev_atom": 0.35, "space_group": "P4/mmm, No. 123", "lattice_angstrom": [[-2.7064, -4.3914, 0.4231], [0.2283, -0.6352, -5.1315], [4.6812, -2.8312, 0.5587]], "species": ["Mg", "Hg", "Ir", "Mg", "Cs"], "frac_coords": [[0.5000, 0.0000, 0.0000], [0.0000, 0.0000, 0.5000], [0.0000, 0.0000, 0.0000], [0.0000, 0.5000, 0.0000], [0.5000, 0.5000, 0.5000]]}

---

[6]
{"formula": "Np2AlSi3Ir4", "functional": "PBE", "state": "optimized geometry", "dos_at_fermi_per_ev_atom": 2.54, "raw_formation_energy_ev_per_atom": -0.715, "space_group": "P-4m2, No. 115", "lattice_angstrom": [[4.0890, 0.0000, 0.0000], [0.0000, 4.0890, 0.0000], [0.0000, 0.0000, 10.2130]], "species": ["Ir", "Si", "Ir", "Np", "Ir", "Np", "Ir", "Al", "Si", "Si"], "frac_coords": [[0.0000, 0.5000, 0.3601], [0.0000, 0.0000, 0.5000], [0.5000, 0.0000, 0.6399], [0.0000, 0.5000, 0.7468], [0.0000, 0.0000, 0.0000], [0.5000, 0.0000, 0.2532], [0.5000, 0.5000, 0.0000], [0.5000, 0.5000, 0.5000], [0.0000, 0.5000, 0.1277], [0.5000, 0.0000, 0.8723]]}